The following is a DFT calculation (GGA-PBE) of a geometry-optimized Zr6H3C2N structure.

The structure in POSCAR format:
```
Zr6H3C2N
1.0
2.888 -4.993 0.000
2.888 4.993 0.000
-1.968 0.000 5.298
Zr H C N
6 3 2 1
Direct
0.080 0.411 0.234
0.251 0.251 0.767
0.411 0.080 0.234
0.589 0.920 0.766
0.749 0.749 0.233
0.920 0.589 0.766
0.170 0.830 0.500
0.500 0.500 0.500
0.830 0.170 0.500
0.334 0.666 0.000
0.666 0.334 0.000
0.000 0.000 0.000
```

Output
- volume (Å³/cell) = 153
- space group = C2/m, No. 12
- E (eV per atom) = -8.149